SrYAu | PBE | optimized geometry

Cell lengths 7.2842, 7.2842, 7.2842 Å; angles 90.00, 90.00, 90.00 degrees
Atoms (fractional coordinates):
Sr (0.0000, 0.0000, 0.0000)
Sr (0.0000, 0.5000, 0.5000)
Sr (0.5000, 0.0000, 0.5000)
Sr (0.5000, 0.5000, 0.0000)
Y (0.0000, 0.0000, 0.5000)
Y (0.0000, 0.5000, 0.0000)
Y (0.5000, 0.0000, 0.0000)
Y (0.5000, 0.5000, 0.5000)
Au (0.2500, 0.2500, 0.2500)
Au (0.2500, 0.7500, 0.7500)
Au (0.7500, 0.2500, 0.7500)
Au (0.7500, 0.7500, 0.2500)

Output
SG: F-43m
E above lowest polymorph, meV/atom: 0.0

SrZnAu2 | PBE | optimized geometry

Cell lengths 7.1052, 7.1052, 7.1052 Å; angles 90.00, 90.00, 90.00 degrees
Atoms (fractional coordinates):
Sr (0.0000, 0.0000, 0.0000)
Sr (0.0000, 0.5000, 0.5000)
Sr (0.5000, 0.0000, 0.5000)
Sr (0.5000, 0.5000, 0.0000)
Zn (0.2500, 0.2500, 0.2500)
Zn (0.2500, 0.7500, 0.7500)
Zn (0.7500, 0.2500, 0.7500)
Zn (0.7500, 0.7500, 0.2500)
Au (0.0000, 0.0000, 0.5000)
Au (0.0000, 0.5000, 0.0000)
Au (0.2500, 0.2500, 0.7500)
Au (0.2500, 0.7500, 0.2500)
Au (0.5000, 0.0000, 0.0000)
Au (0.5000, 0.5000, 0.5000)
Au (0.7500, 0.2500, 0.2500)
Au (0.7500, 0.7500, 0.7500)

Output
Uncorrected energy, eV per atom: -2.741
SG: F-43m

SrZn2Au | PBE | optimized geometry

Cell lengths 7.0764, 7.0764, 7.0764 Å; angles 90.00, 90.00, 90.00 degrees
Atoms (fractional coordinates):
Sr (0.0000, 0.0000, 0.0000)
Sr (0.0000, 0.5000, 0.5000)
Sr (0.5000, 0.0000, 0.5000)
Sr (0.5000, 0.5000, 0.0000)
Zn (0.0000, 0.0000, 0.5000)
Zn (0.0000, 0.5000, 0.0000)
Zn (0.2500, 0.2500, 0.7500)
Zn (0.2500, 0.7500, 0.2500)
Zn (0.5000, 0.0000, 0.0000)
Zn (0.5000, 0.5000, 0.5000)
Zn (0.7500, 0.2500, 0.2500)
Zn (0.7500, 0.7500, 0.7500)
Au (0.2500, 0.2500, 0.2500)
Au (0.2500, 0.7500, 0.7500)
Au (0.7500, 0.2500, 0.7500)
Au (0.7500, 0.7500, 0.2500)

Output
Uncorrected energy, eV per atom: -2.110
SG: F-43m

SrZn6Au4 | PBE | optimized geometry

Cell lengths 7.4962, 7.4962, 4.2613 Å; angles 90.00, 90.00, 120.00 degrees
Atoms (fractional coordinates):
Sr (0.0000, 0.0000, 0.0000)
Zn (0.2063, 0.4125, 0.5000)
Zn (0.2063, 0.7937, 0.5000)
Zn (0.5381, 0.0763, 0.0000)
Zn (0.5381, 0.4619, 0.0000)
Zn (0.5875, 0.7937, 0.5000)
Zn (0.9237, 0.4619, 0.0000)
Au (0.3333, 0.6667, 0.0000)
Au (0.3962, 0.1981, 0.5000)
Au (0.8019, 0.1981, 0.5000)
Au (0.8019, 0.6038, 0.5000)

Output
Uncorrected energy, eV per atom: -2.384
SG: P-6m2

SrZnAu | PBE | optimized geometry

Cell lengths 7.2333, 7.2333, 7.2333 Å; angles 90.00, 90.00, 90.00 degrees
Atoms (fractional coordinates):
Sr (0.0000, 0.0000, 0.0000)
Sr (0.0000, 0.5000, 0.5000)
Sr (0.5000, 0.0000, 0.5000)
Sr (0.5000, 0.5000, 0.0000)
Zn (0.2500, 0.2500, 0.2500)
Zn (0.2500, 0.7500, 0.7500)
Zn (0.7500, 0.2500, 0.7500)
Zn (0.7500, 0.7500, 0.2500)
Au (0.2500, 0.2500, 0.7500)
Au (0.2500, 0.7500, 0.2500)
Au (0.7500, 0.2500, 0.2500)
Au (0.7500, 0.7500, 0.7500)

Output
Uncorrected energy, eV per atom: -2.187
SG: F-43m

Ta2Au | PBE | optimized geometry

Cell lengths 6.5260, 6.5260, 5.1793 Å; angles 90.00, 90.00, 90.00 degrees
Atoms (fractional coordinates):
Ta (0.1485, 0.3515, 0.0000)
Ta (0.1485, 0.6485, 0.5000)
Ta (0.3515, 0.1485, 0.5000)
Ta (0.3515, 0.8515, 0.0000)
Ta (0.6485, 0.1485, 0.0000)
Ta (0.6485, 0.8515, 0.5000)
Ta (0.8515, 0.3515, 0.5000)
Ta (0.8515, 0.6485, 0.0000)
Au (0.0000, 0.0000, 0.2500)
Au (0.0000, 0.0000, 0.7500)
Au (0.5000, 0.5000, 0.2500)
Au (0.5000, 0.5000, 0.7500)

Output
SG: I4/mcm
Formation energy from the elements, eV per atom: 0.15

Ta2Au | PBE | optimized geometry

Cell lengths 5.4142, 5.4142, 5.4142 Å; angles 60.00, 60.00, 60.00 degrees
Atoms (fractional coordinates):
Ta (0.0000, 0.0000, 0.0000)
Ta (0.0000, 0.0000, 0.5000)
Ta (0.0000, 0.5000, 0.0000)
Ta (0.5000, 0.0000, 0.0000)
Au (0.3750, 0.3750, 0.3750)
Au (0.6250, 0.6250, 0.6250)

Output
SG: Fd-3m
Formation energy from the elements, eV per atom: 0.37

Ta2Au | PBE | optimized geometry

Cell lengths 10.0966, 10.0966, 5.2320 Å; angles 90.00, 90.00, 90.00 degrees
Atoms (fractional coordinates):
Ta (0.0351, 0.3704, 0.0000)
Ta (0.1037, 0.1037, 0.0000)
Ta (0.1296, 0.5351, 0.5000)
Ta (0.1834, 0.8166, 0.2500)
Ta (0.1834, 0.8166, 0.7500)
Ta (0.3166, 0.3166, 0.2500)
Ta (0.3166, 0.3166, 0.7500)
Ta (0.3704, 0.0351, 0.0000)
Ta (0.3963, 0.6037, 0.5000)
Ta (0.4649, 0.8704, 0.5000)
Ta (0.5351, 0.1296, 0.5000)
Ta (0.6037, 0.3963, 0.5000)
Ta (0.6296, 0.9649, 0.0000)
Ta (0.6834, 0.6834, 0.2500)
Ta (0.6834, 0.6834, 0.7500)
Ta (0.8166, 0.1834, 0.2500)
Ta (0.8166, 0.1834, 0.7500)
Ta (0.8704, 0.4649, 0.5000)
Ta (0.8963, 0.8963, 0.0000)
Ta (0.9649, 0.6296, 0.0000)
Au (0.0000, 0.0000, 0.5000)
Au (0.0634, 0.2672, 0.5000)
Au (0.2328, 0.5634, 0.0000)
Au (0.2672, 0.0634, 0.5000)
Au (0.4366, 0.7672, 0.0000)
Au (0.5000, 0.5000, 0.0000)
Au (0.5634, 0.2328, 0.0000)
Au (0.7328, 0.9366, 0.5000)
Au (0.7672, 0.4366, 0.0000)
Au (0.9366, 0.7328, 0.5000)

Output
SG: P4_2/mnm
Formation energy from the elements, eV per atom: -0.04

TaAu2 | PBE | optimized geometry

Cell lengths 5.3682, 5.3682, 5.3682 Å; angles 60.00, 60.00, 60.00 degrees
Atoms (fractional coordinates):
Ta (0.1250, 0.1250, 0.1250)
Ta (0.8750, 0.8750, 0.8750)
Au (0.0000, 0.5000, 0.5000)
Au (0.5000, 0.0000, 0.5000)
Au (0.5000, 0.5000, 0.0000)
Au (0.5000, 0.5000, 0.5000)

Output
SG: Fd-3m
Formation energy from the elements, eV per atom: 0.47

TaTeAu | PBE | optimized geometry

Cell lengths 6.5678, 6.5678, 6.5678 Å; angles 90.00, 90.00, 90.00 degrees
Atoms (fractional coordinates):
Ta (0.0000, 0.0000, 0.0000)
Ta (0.0000, 0.5000, 0.5000)
Ta (0.5000, 0.0000, 0.5000)
Ta (0.5000, 0.5000, 0.0000)
Te (0.2500, 0.2500, 0.2500)
Te (0.2500, 0.7500, 0.7500)
Te (0.7500, 0.2500, 0.7500)
Te (0.7500, 0.7500, 0.2500)
Au (0.2500, 0.2500, 0.7500)
Au (0.2500, 0.7500, 0.2500)
Au (0.7500, 0.2500, 0.2500)
Au (0.7500, 0.7500, 0.7500)

Output
SG: F-43m
E above lowest polymorph, meV/atom: 0.0

TaTeAu | PBE | optimized geometry

Cell lengths 6.5045, 6.5045, 6.5045 Å; angles 90.00, 90.00, 90.00 degrees
Atoms (fractional coordinates):
Ta (0.0000, 0.0000, 0.0000)
Ta (0.0000, 0.5000, 0.5000)
Ta (0.5000, 0.0000, 0.5000)
Ta (0.5000, 0.5000, 0.0000)
Te (0.2500, 0.2500, 0.7500)
Te (0.2500, 0.7500, 0.2500)
Te (0.7500, 0.2500, 0.2500)
Te (0.7500, 0.7500, 0.7500)
Au (0.0000, 0.0000, 0.5000)
Au (0.0000, 0.5000, 0.0000)
Au (0.5000, 0.0000, 0.0000)
Au (0.5000, 0.5000, 0.5000)

Output
SG: F-43m
E above lowest polymorph, meV/atom: 353.8

TaTe2Au2 | PBE | optimized geometry

Cell lengths 3.6955, 3.6955, 16.0737 Å; angles 90.00, 90.00, 90.00 degrees
Atoms (fractional coordinates):
Ta (0.0000, 0.0000, 0.0000)
Ta (0.5000, 0.5000, 0.5000)
Te (0.0000, 0.0000, 0.4057)
Te (0.0000, 0.0000, 0.5943)
Te (0.5000, 0.5000, 0.0943)
Te (0.5000, 0.5000, 0.9057)
Au (0.0000, 0.5000, 0.2500)
Au (0.0000, 0.5000, 0.7500)
Au (0.5000, 0.0000, 0.2500)
Au (0.5000, 0.0000, 0.7500)

Output
Uncorrected energy, eV per atom: -4.650
SG: I4/mmm

Volume values (in Å³ per atom) by entry order: 32.21, 22.42, 22.15, 18.85, 31.54, 18.38, 18.70, 17.78, 18.23, 23.61, 22.93, 21.95.